! Ba2GeBiAs, relaxed, DFT GGA-PBE; values from VASP
! calculated total energy: -20.80 eV/f.u.
! energy of formation from the pure elements: -0.762 eV/atom
&SYSTEM
  ibrav = 0, nat = 10, ntyp = 4
/
ATOMIC_SPECIES
Ba 137.33 Ba.upf
Ge 72.64 Ge.upf
Bi 208.98 Bi.upf
As 74.92 As.upf
ATOMIC_POSITIONS crystal
Ba 0.2401 0.2500 0.4058
Ba 0.2400 0.2500 0.9792
Ba 0.7600 0.7500 0.0208
Ba 0.7599 0.7500 0.5942
Ge 0.4703 0.7500 0.1969
Ge 0.5297 0.2500 0.8031
Bi 0.3326 0.7500 0.6892
Bi 0.6674 0.2500 0.3108
As 0.1605 0.7500 0.1914
As 0.8395 0.2500 0.8086
CELL_PARAMETERS angstrom
7.9112 0.0000 0.0000
0.0000 4.7758 0.0000
-2.8551 0.0000 10.0654